(1)
The following is a DFT calculation (GGA-PBEsol) of crystalline TiP2W at its relaxed geometry.

Results
For the density of states at the Fermi level, the calculation gives 0.92 states/eV per cell. Its formation energy is -895 meV/atom. Its total energy is -9.323 eV per atom. The volume is 115 Å³/cell.

a = 3.2011 Å, b = 3.2626 Å, c = 11.0064 Å
α = 90.00°, β = 90.00°, γ = 90.00°
With the nearest neighbours (Å) after each atom.
Fractional coordinates of all 8 atoms:
1 Ti 0.0000 0.0000 0.0000  6 P 2.44-2.46
2 Ti 0.5000 0.5000 0.5000  6 P 2.44-2.46
3 P 0.0000 0.0000 0.4214  2 W 2.43, 4 Ti 2.44
4 P 0.0000 0.5000 0.1673  2 Ti 2.46, 4 W 2.48
5 P 0.5000 0.0000 0.6673  2 Ti 2.46, 4 W 2.48
6 P 0.5000 0.5000 0.9214  2 W 2.43, 4 Ti 2.44
7 W 0.0000 0.5000 0.7549  6 P 2.43-2.48
8 W 0.5000 0.0000 0.2549  6 P 2.43-2.48

(2)
The following is a DFT calculation (GGA-PBEsol) of crystalline TiZn3P at its relaxed geometry.

Results
For the density of states at the Fermi level, the calculation gives 3.37 states/eV per cell. Its formation energy is 1280 meV/atom. Its total energy is -2.492 eV per atom. The volume is 111 Å³/cell.

a = 4.8020 Å, b = 4.8020 Å, c = 4.8020 Å
α = 90.00°, β = 90.00°, γ = 90.00°
With the nearest neighbours (Å) after each atom.
Fractional coordinates of all 5 atoms:
1 Ti 0.0000 0.0000 0.0000  6 Zn 2.40
2 Zn 0.0000 0.0000 0.5000  2 Ti 2.40
3 Zn 0.0000 0.5000 0.0000  2 Ti 2.40
4 Zn 0.5000 0.0000 0.0000  2 Ti 2.40
5 P 0.5000 0.5000 0.5000  12 Zn 3.40

(3)
The following is a DFT calculation (GGA-PBEsol) of crystalline Zr2TiP2 at its relaxed geometry.

Results
For the density of states at the Fermi level, the calculation gives 2.77 states/eV per cell. Its formation energy is -1289 meV/atom. Its total energy is -8.906 eV per atom. The volume is 162 Å³/cell.

a = 6.6854 Å, b = 6.6854 Å, c = 3.6219 Å
α = 90.00°, β = 90.00°, γ = 90.00°
With the nearest neighbours (Å) after each atom.
Fractional coordinates of all 10 atoms:
1 Zr 0.1657 0.3343 0.0000  6 P 2.59-2.73
2 Zr 0.3343 0.8343 0.0000  6 P 2.59-2.73
3 Zr 0.6657 0.1657 0.0000  6 P 2.59-2.73
4 Zr 0.8343 0.6657 0.0000  6 P 2.59-2.73
5 Ti 0.0000 0.0000 0.5000  4 P 2.59
6 Ti 0.5000 0.5000 0.5000  4 P 2.59
7 P 0.1382 0.6382 0.5000  2 Ti 2.59, 6 Zr 2.59-2.73, 1 P 2.61
8 P 0.3618 0.1382 0.5000  2 Ti 2.59, 6 Zr 2.59-2.73, 1 P 2.61
9 P 0.6382 0.8618 0.5000  2 Ti 2.59, 6 Zr 2.59-2.73, 1 P 2.61
10 P 0.8618 0.3618 0.5000  2 Ti 2.59, 6 Zr 2.59-2.73, 1 P 2.61

(4)
The following is a DFT calculation (GGA-PBEsol) of crystalline ZrTiP3 at its relaxed geometry.

Results
For the density of states at the Fermi level, the calculation gives 2.90 states/eV per cell. Its formation energy is 0 meV/atom. The value obtained for the energy above the most stable polymorph in this dataset is 0 meV/atom. Its total energy is -6.958 eV per atom. The volume is 94 Å³/cell.

a = 4.5452 Å, b = 4.5452 Å, c = 4.5452 Å
α = 90.00°, β = 90.00°, γ = 90.00°
With the nearest neighbours (Å) after each atom.
Fractional coordinates of all 5 atoms:
1 Zr 0.0000 0.0000 0.0000  12 P 3.21
2 Ti 0.5000 0.5000 0.5000  6 P 2.27
3 P 0.0000 0.5000 0.5000  2 Ti 2.27
4 P 0.5000 0.0000 0.5000  2 Ti 2.27
5 P 0.5000 0.5000 0.0000  2 Ti 2.27

(5)
The following is a DFT calculation (GGA-PBEsol) of crystalline ZrTiP3 at its relaxed geometry.

Results
For the density of states at the Fermi level, the calculation gives 7.38 states/eV per cell. Its formation energy is 516 meV/atom. The value obtained for the energy above the most stable polymorph in this dataset is 517 meV/atom. Its total energy is -6.441 eV per atom. The volume is 115 Å³/cell.

a = 4.8639 Å, b = 4.8639 Å, c = 4.8639 Å
α = 90.00°, β = 90.00°, γ = 90.00°
With the nearest neighbours (Å) after each atom.
Fractional coordinates of all 5 atoms:
1 Zr 0.0000 0.0000 0.0000  6 P 2.43
2 Ti 0.5000 0.5000 0.5000  12 P 3.44
3 P 0.0000 0.0000 0.5000  2 Zr 2.43
4 P 0.0000 0.5000 0.0000  2 Zr 2.43
5 P 0.5000 0.0000 0.0000  2 Zr 2.43

(6)
The following is a DFT calculation (GGA-PBEsol) of crystalline TlP2W at its relaxed geometry.

Results
For the density of states at the Fermi level, the calculation gives 4.85 states/eV per cell. Its formation energy is 138 meV/atom. The value obtained for the energy above the most stable polymorph in this dataset is 0 meV/atom. Its total energy is -6.867 eV per atom. The volume is 161 Å³/cell.

a = 8.2317 Å, b = 3.2353 Å, c = 6.3084 Å
α = 90.00°, β = 106.40°, γ = 90.00°
With the nearest neighbours (Å) after each atom.
Fractional coordinates of all 8 atoms:
1 Tl 0.0000 0.0000 0.0000  1 P 2.74, 2 W 3.02
2 Tl 0.5000 0.5000 0.0000  1 P 2.74, 2 W 3.02
3 P 0.1626 0.5000 0.6101  3 W 2.38-2.39, 1 P 2.61
4 P 0.3109 0.5000 0.2945  2 W 2.38, 1 P 2.61
5 P 0.6626 0.0000 0.6101  3 W 2.38-2.39, 1 P 2.61
6 P 0.8109 0.0000 0.2945  2 W 2.38, 1 P 2.61
7 W 0.3674 0.0000 0.5823  5 P 2.38-2.39
8 W 0.8674 0.5000 0.5823  5 P 2.38-2.39